(1)
{
  "formula": "SiO2",
  "functional": "PBE-GGA",
  "state": "relaxed",
  "dft_energy_ev_per_cell": -142.00,
  "spacegroup": "P6_3/mmc",
  "formation_energy_uncorrected_ev_per_atom": -2.776,
  "cell": [[5.239, 4.464, 6.126], [-6.820, -5.479, 2.895], [3.325, -4.073, 0.124]],
  "species": ["Si", "Si", "Si", "Si", "Si", "Si", "O", "O", "O", "O", "O", "O", "O", "O", "O", "O", "O", "O"],
  "frac_coords": [[0.883, 0.442, 0.250], [0.442, 0.883, 0.750], [0.442, 0.558, 0.750], [0.117, 0.558, 0.750], [0.558, 0.442, 0.250], [0.558, 0.117, 0.250], [0.763, 0.237, 0.250], [0.237, 0.763, 0.750], [0.500, 0.000, 0.000], [0.000, 0.500, 0.500], [0.525, 0.763, 0.750], [0.475, 0.237, 0.250], [0.763, 0.525, 0.250], [0.500, 0.000, 0.500], [0.500, 0.500, 0.500], [0.237, 0.475, 0.750], [0.000, 0.500, 0.000], [0.500, 0.500, 0.000]]
}

(2)
{
  "formula": "SiO2",
  "functional": "PBE-GGA",
  "state": "relaxed",
  "dft_energy_ev_per_cell": -93.18,
  "spacegroup": "I4_122",
  "formation_energy_uncorrected_ev_per_atom": -2.652,
  "cell": [[-0.174, 5.199, 4.589], [-5.638, 3.878, -1.139], [0.810, -6.842, 0.806]],
  "species": ["Si", "Si", "Si", "Si", "O", "O", "O", "O", "O", "O", "O", "O"],
  "frac_coords": [[0.014, 0.625, 0.889], [0.375, 0.986, 0.111], [0.875, 0.264, 0.889], [0.736, 0.125, 0.111], [0.468, 0.968, 0.936], [0.032, 0.532, 0.064], [0.116, 0.116, 0.000], [0.634, 0.134, 0.500], [0.866, 0.366, 0.500], [0.718, 0.282, 0.000], [0.282, 0.718, 0.000], [0.884, 0.884, 0.000]]
}

(3)
{
  "formula": "SiO2",
  "functional": "PBE-GGA",
  "state": "relaxed",
  "dft_energy_ev_per_cell": -189.64,
  "spacegroup": "I4/mcm",
  "formation_energy_uncorrected_ev_per_atom": -2.789,
  "cell": [[7.850, -2.930, -0.596], [-4.977, -3.131, 5.999], [-3.694, -2.092, -7.249]],
  "species": ["Si", "Si", "Si", "Si", "Si", "Si", "Si", "Si", "O", "O", "O", "O", "O", "O", "O", "O", "O", "O", "O", "O", "O", "O", "O", "O"],
  "frac_coords": [[0.168, 0.668, 0.210], [0.668, 0.457, 0.500], [0.543, 0.043, 0.210], [0.332, 0.543, 0.500], [0.832, 0.332, 0.790], [0.457, 0.957, 0.790], [0.957, 0.168, 0.500], [0.043, 0.832, 0.500], [0.936, 0.250, 0.686], [0.436, 0.750, 0.686], [0.144, 0.356, 0.500], [0.000, 0.500, 0.000], [0.564, 0.250, 0.314], [0.000, 0.000, 0.500], [0.856, 0.644, 0.500], [0.750, 0.436, 0.686], [0.500, 0.500, 0.500], [0.250, 0.564, 0.314], [0.250, 0.936, 0.686], [0.644, 0.144, 0.788], [0.064, 0.750, 0.314], [0.750, 0.064, 0.314], [0.356, 0.856, 0.212], [0.500, 0.000, 0.000]]
}

(4)
{
  "formula": "Si5O8",
  "functional": "PBE-GGA",
  "state": "relaxed",
  "dft_energy_ev_per_cell": -193.42,
  "spacegroup": "P1",
  "formation_energy_uncorrected_ev_per_atom": -2.302,
  "cell": [[-2.594, 5.918, -1.402], [-5.184, -1.396, -3.868], [-10.192, 1.152, 7.806]],
  "species": ["Si", "Si", "Si", "Si", "Si", "Si", "Si", "Si", "Si", "Si", "O", "O", "O", "O", "O", "O", "O", "O", "O", "O", "O", "O", "O", "O", "O", "O"],
  "frac_coords": [[0.288, 0.248, 0.610], [0.508, 0.280, 0.937], [0.222, 0.613, 0.421], [0.929, 0.909, 0.926], [0.548, 0.612, 0.297], [0.714, 0.496, 0.060], [0.384, 0.781, 0.583], [0.756, 0.708, 0.394], [0.087, 0.071, 0.063], [0.378, 0.461, 0.708], [0.152, 0.375, 0.713], [0.317, 0.151, 0.006], [0.518, 0.295, 0.621], [0.803, 0.709, 0.990], [0.630, 0.785, 0.510], [0.587, 0.538, 0.182], [0.710, 0.476, 0.383], [0.634, 0.838, 0.291], [0.444, 0.424, 0.824], [0.215, 0.370, 0.494], [0.283, 0.999, 0.631], [0.543, 0.442, 0.005], [0.007, 0.712, 0.373], [0.730, 0.114, 0.908], [0.233, 0.766, 0.502], [0.912, 0.296, 0.070]]
}

(5)
{
  "formula": "SiO2",
  "functional": "PBE-GGA",
  "state": "relaxed",
  "dft_energy_ev_per_cell": -186.69,
  "spacegroup": "Fd-3m",
  "formation_energy_uncorrected_ev_per_atom": -2.666,
  "cell": [[0.000, 7.646, 7.646], [7.646, 0.000, 7.646], [7.646, 7.646, 0.000]],
  "species": ["Si", "Si", "Si", "Si", "Si", "Si", "Si", "Si", "O", "O", "O", "O", "O", "O", "O", "O", "O", "O", "O", "O", "O", "O", "O", "O"],
  "frac_coords": [[0.065, 0.806, 0.065], [0.185, 0.185, 0.185], [0.444, 0.185, 0.185], [0.185, 0.185, 0.444], [0.065, 0.065, 0.806], [0.065, 0.065, 0.065], [0.806, 0.065, 0.065], [0.185, 0.444, 0.185], [0.125, 0.125, 0.625], [0.125, 0.125, 0.125], [0.625, 0.125, 0.125], [0.125, 0.625, 0.125], [0.127, 0.373, 0.127], [0.877, 0.123, 0.877], [0.127, 0.127, 0.373], [0.373, 0.127, 0.127], [0.373, 0.127, 0.373], [0.123, 0.123, 0.877], [0.877, 0.877, 0.123], [0.123, 0.877, 0.877], [0.877, 0.123, 0.123], [0.123, 0.877, 0.123], [0.373, 0.373, 0.127], [0.127, 0.373, 0.373]]
}

(6)
{
  "formula": "SiO2",
  "functional": "PBE-GGA",
  "state": "relaxed",
  "dft_energy_ev_per_cell": -92.84,
  "spacegroup": "I2_12_12_1",
  "formation_energy_uncorrected_ev_per_atom": -2.624,
  "cell": [[-2.126, 2.342, 7.750], [2.126, -2.342, 7.750], [2.126, 2.342, -7.750]],
  "species": ["Si", "Si", "Si", "Si", "O", "O", "O", "O", "O", "O", "O", "O"],
  "frac_coords": [[0.313, 0.563, 0.750], [0.060, 0.310, 0.750], [0.440, 0.190, 0.250], [0.187, 0.937, 0.250], [0.546, 0.391, 0.678], [0.954, 0.632, 0.845], [0.287, 0.109, 0.655], [0.073, 0.250, 0.323], [0.250, 0.407, 0.157], [0.750, 0.093, 0.343], [0.427, 0.750, 0.177], [0.213, 0.868, 0.822]]
}

(7)
{
  "formula": "SiO2",
  "functional": "PBE-GGA",
  "state": "relaxed",
  "dft_energy_ev_per_cell": -189.86,
  "spacegroup": "P2_1/c",
  "formation_energy_uncorrected_ev_per_atom": -2.798,
  "cell": [[-3.375, 2.642, 2.695], [2.845, -3.843, 7.330], [7.405, 3.566, 5.777]],
  "species": ["Si", "Si", "Si", "Si", "Si", "Si", "Si", "Si", "O", "O", "O", "O", "O", "O", "O", "O", "O", "O", "O", "O", "O", "O", "O", "O"],
  "frac_coords": [[0.132, 0.876, 0.292], [0.242, 0.626, 0.667], [0.258, 0.626, 0.167], [0.368, 0.876, 0.792], [0.868, 0.124, 0.708], [0.742, 0.374, 0.833], [0.758, 0.374, 0.333], [0.632, 0.124, 0.208], [0.669, 0.291, 0.019], [0.831, 0.291, 0.519], [0.491, 0.486, 0.718], [0.816, 0.204, 0.817], [0.170, 0.048, 0.738], [0.009, 0.486, 0.218], [0.670, 0.952, 0.762], [0.830, 0.952, 0.262], [0.316, 0.796, 0.683], [0.331, 0.709, 0.981], [0.991, 0.514, 0.782], [0.169, 0.709, 0.481], [0.184, 0.796, 0.183], [0.509, 0.514, 0.282], [0.684, 0.204, 0.317], [0.330, 0.048, 0.238]]
}

(8)
{
  "formula": "SiO2",
  "functional": "PBE-GGA",
  "state": "relaxed",
  "dft_energy_ev_per_cell": -94.76,
  "spacegroup": "Fddd",
  "formation_energy_uncorrected_ev_per_atom": -2.783,
  "cell": [[-1.012, 6.634, -5.734], [-2.376, 1.716, -7.235], [-3.296, 3.986, 1.245]],
  "species": ["Si", "Si", "Si", "Si", "O", "O", "O", "O", "O", "O", "O", "O"],
  "frac_coords": [[0.437, 0.437, 0.063], [0.063, 0.063, 0.437], [0.813, 0.813, 0.187], [0.187, 0.187, 0.813], [0.564, 0.936, 0.564], [0.936, 0.564, 0.936], [0.686, 0.314, 0.686], [0.314, 0.686, 0.314], [0.125, 0.625, 0.125], [0.625, 0.125, 0.125], [0.125, 0.125, 0.125], [0.125, 0.125, 0.625]]
}

(9)
{
  "formula": "SiO2",
  "functional": "PBE-GGA",
  "state": "relaxed",
  "dft_energy_ev_per_cell": -94.48,
  "spacegroup": "P1",
  "formation_energy_uncorrected_ev_per_atom": -2.760,
  "cell": [[4.958, -0.013, -0.055], [-1.522, 6.974, -0.051], [-1.809, -3.451, 6.124]],
  "species": ["Si", "Si", "Si", "Si", "O", "O", "O", "O", "O", "O", "O", "O"],
  "frac_coords": [[0.795, 0.153, 0.285], [0.433, 0.153, 0.538], [0.822, 0.569, 0.620], [0.473, 0.872, 0.771], [0.691, 0.404, 0.708], [0.623, 0.723, 0.622], [0.788, 0.405, 0.368], [0.175, 0.722, 0.772], [0.718, 0.027, 0.024], [0.379, 0.025, 0.671], [0.550, 0.021, 0.347], [0.123, 0.170, 0.419]]
}

(10)
{
  "formula": "Si3O",
  "functional": "PBE-GGA",
  "state": "relaxed",
  "polymorph_energy_mev_per_atom": 0.0,
  "dft_energy_ev_per_cell": -94.71,
  "spacegroup": "C2/c",
  "formation_energy_uncorrected_ev_per_atom": -0.612,
  "cell": [[2.109, 9.266, -0.017], [-2.109, 9.266, -0.017], [0.000, 2.551, 7.912]],
  "species": ["Si", "Si", "Si", "Si", "Si", "Si", "Si", "Si", "Si", "Si", "Si", "Si", "O", "O", "O", "O"],
  "frac_coords": [[0.736, 0.867, 0.963], [0.104, 0.143, 0.338], [0.264, 0.133, 0.037], [0.422, 0.477, 0.122], [0.477, 0.422, 0.622], [0.523, 0.578, 0.378], [0.867, 0.736, 0.463], [0.857, 0.896, 0.162], [0.896, 0.857, 0.662], [0.133, 0.264, 0.537], [0.143, 0.104, 0.838], [0.578, 0.523, 0.878], [0.000, 0.500, 0.000], [0.393, 0.607, 0.250], [0.500, 0.000, 0.500], [0.607, 0.393, 0.750]]
}

(11)
{
  "formula": "SiO2",
  "functional": "PBE-GGA",
  "state": "relaxed",
  "dft_energy_ev_per_cell": -189.83,
  "spacegroup": "Cmc2_1",
  "formation_energy_uncorrected_ev_per_atom": -2.797,
  "cell": [[4.294, -5.211, 0.000], [4.294, 5.211, 0.000], [0.000, 0.000, 8.912]],
  "species": ["Si", "Si", "Si", "Si", "Si", "Si", "Si", "Si", "O", "O", "O", "O", "O", "O", "O", "O", "O", "O", "O", "O", "O", "O", "O", "O"],
  "frac_coords": [[0.180, 0.454, 0.582], [0.546, 0.820, 0.582], [0.454, 0.180, 0.082], [0.081, 0.284, 0.909], [0.919, 0.716, 0.409], [0.820, 0.546, 0.082], [0.284, 0.081, 0.409], [0.716, 0.919, 0.909], [0.070, 0.930, 0.438], [0.332, 0.091, 0.231], [0.091, 0.332, 0.731], [0.465, 0.003, 0.498], [0.003, 0.465, 0.998], [0.668, 0.909, 0.731], [0.535, 0.997, 0.998], [0.729, 0.695, 0.969], [0.997, 0.535, 0.498], [0.642, 0.358, 0.129], [0.695, 0.729, 0.469], [0.909, 0.668, 0.231], [0.930, 0.070, 0.938], [0.358, 0.642, 0.629], [0.271, 0.305, 0.469], [0.305, 0.271, 0.969]]
}

(12)
{
  "formula": "SiO2",
  "functional": "PBE-GGA",
  "state": "relaxed",
  "dft_energy_ev_per_cell": -92.10,
  "spacegroup": "C2/c",
  "formation_energy_uncorrected_ev_per_atom": -2.561,
  "cell": [[-2.467, -0.452, 1.170], [-2.390, -3.548, -3.127], [3.725, -4.830, 9.251]],
  "species": ["Si", "Si", "Si", "Si", "O", "O", "O", "O", "O", "O", "O", "O"],
  "frac_coords": [[0.961, 0.418, 0.155], [0.535, 0.582, 0.845], [0.789, 0.082, 0.345], [0.215, 0.918, 0.655], [0.202, 0.164, 0.436], [0.802, 0.836, 0.564], [0.548, 0.336, 0.064], [0.948, 0.664, 0.936], [0.875, 0.250, 0.250], [0.875, 0.750, 0.250], [0.875, 0.250, 0.750], [0.375, 0.750, 0.750]]
}